No. 1
29
Lattice="8.7802 0.0000 0.0000 4.3901 7.6039 0.0000 4.3901 2.5346 7.1690" Properties=species:S:1:pos:R:3 comment="Sc6Ga16Ru7 (GGA-PBE, optimized geometry)" sg=Fm-3m final_energy_ev_per_atom=-5.7370 magnetic_moment_mub_per_fu=0.00 e_form_ev_per_atom=-0.518 pbc="T T T"
Ga 2.1700 1.2529 0.8859
Ru 4.3901 5.0693 3.5845
Sc 8.7802 2.8265 1.9987
Ru 2.1951 1.2673 3.5845
Ru 4.3901 0.0000 0.0000
Ga 11.5050 3.4961 2.4721
Ru 6.5852 3.8020 0.0000
Ga 15.3905 8.8857 6.2831
Ga 8.7802 1.9230 4.6969
Ga 13.1704 5.0404 6.2831
Ga 8.7802 5.0693 0.2474
Ga 4.3901 2.5346 4.5113
Ga 10.9503 8.8857 6.2831
Ga 8.7802 8.2156 2.4721
Ga 11.5050 6.6424 4.6969
Sc 8.7802 7.3120 5.1704
Ga 4.3901 5.0982 0.8859
Ru 2.1951 3.8020 0.0000
Sc 6.8380 3.9479 5.1704
Sc 6.8380 6.1906 1.9987
Ga 6.0555 3.4961 2.4721
Ru 6.5852 1.2673 3.5845
Ga 8.7802 5.0693 6.9217
Ga 6.6102 1.2529 0.8859
Ga 6.0555 6.6424 4.6969
Ru 0.0000 0.0000 0.0000
Sc 10.7225 6.1906 1.9987
Sc 10.7225 3.9479 5.1704
Ga 13.1704 7.6039 2.6577



No. 2
8
Lattice="-3.2965 2.3950 -0.2162 -4.3923 -6.2159 -1.8855 -2.7081 -3.1906 5.9459" Properties=species:S:1:pos:R:3 comment="K2CeHgS4 (GGA-PBE, optimized geometry)" sg=P2/m final_energy_ev_per_atom=-4.2951 magnetic_moment_mub_per_fu=0.13 e_form_raw_kj_per_mol_fu=-909 pbc="T T T"
S -5.0851 -6.7055 3.2520
Hg -3.8444 -1.9105 -1.0509
S -5.3118 -0.3060 0.5921
Ce -3.5502 -4.7032 2.0302
S -5.5974 -4.2030 0.2816
K -2.7081 -3.1906 5.9459
K -3.0023 -0.3978 2.8648
S -4.7995 -2.8085 3.5625